1) A relaxed structure of TlTc2Ir, computed with GGA-PBE.

Computed properties:
The mass density is 14.81 g cm⁻³.

Cell lengths 9.2684, 2.9012, 5.0392 Å; angles 90.00, 101.28, 90.00 degrees
Space group Cm (No. 8)
Inequivalent atoms, fractional coordinates:
Tl  0.0000  0.0000  0.0000 x2
Tc  0.2647  0.5000  0.3170 x2
Tc  0.4988  0.0000  0.4860 x2
Ir  0.2374  0.0000  0.7410 x2

***

2) A relaxed structure of TlTc2Ir, computed with GGA-PBE.

Computed properties:
The mass density is 15.21 g cm⁻³.

Cell lengths 3.9724, 3.9724, 8.2000 Å; angles 90.00, 90.00, 90.00 degrees
Space group I-4m2 (No. 119)
Inequivalent atoms, fractional coordinates:
Tl  0.0000  0.0000  0.0000 x2
Tc  0.0000  0.0000  0.5000 x2
Tc  0.0000  0.5000  0.2500 x2
Ir  0.0000  0.5000  0.7500 x2

***

3) A relaxed structure of TlTc2Ir, computed with GGA-PBE.

Computed properties:
The mass density is 14.89 g cm⁻³.

Cell lengths 2.8875, 2.8875, 27.4489 Å; angles 90.00, 90.00, 120.00 degrees
Space group R3m (No. 160, hexagonal axes)
Inequivalent atoms, fractional coordinates:
Tl  0.0000  0.0000  0.0000 x3
Tc  0.0000  0.0000  0.4995 x3
Tc  0.0000  0.0000  0.7575 x3
Ir  0.0000  0.0000  0.2434 x3

***

4) A relaxed structure of TlTc2Ir, computed with GGA-PBE.

Computed properties:
The mass density is 15.04 g cm⁻³.

Cell lengths 2.8234, 2.8234, 8.2091 Å; angles 90.00, 90.00, 90.00 degrees
Space group P4/mmm (No. 123)
Inequivalent atoms, fractional coordinates:
Tl  0.0000  0.0000  0.0000 x1
Tc  0.5000  0.5000  0.2734 x2
Ir  0.0000  0.0000  0.5000 x1

***

Stability comparison, relative energies in meV/atom: 1) 59; 2) 120; 3) 0; 4) 42

***

1) A relaxed structure of TlTc2Ir, computed with GGA-PBE.

Computed properties:
The mass density is 13.28 g cm⁻³.

Cell lengths 7.4417, 7.4417, 5.3514 Å; angles 90.00, 90.00, 90.00 degrees
Space group I-42d (No. 122)
Inequivalent atoms, fractional coordinates:
Tl  0.0000  0.0000  0.0000 x4
Tc  0.2033  0.2500  0.6250 x8
Ir  0.0000  0.0000  0.5000 x4

***

2) A relaxed structure of TlTc2Ir, computed with GGA-PBE.

Computed properties:
The mass density is 14.60 g cm⁻³.

Cell lengths 2.8193, 4.0000, 5.9747 Å; angles 90.00, 90.00, 90.00 degrees
Space group Pmmm (No. 47)
Inequivalent atoms, fractional coordinates:
Tl  0.0000  0.0000  0.0000 x1
Tc  0.5000  0.5000  0.2952 x2
Ir  0.0000  0.0000  0.5000 x1

***

Stability comparison, relative energies in meV/atom: 1) 476; 2) 0

***

1) A relaxed structure of TlTc2Ir, computed with GGA-PBE.

Computed properties:
The mass density is 14.98 g cm⁻³.

Cell lengths 4.7612, 4.7612, 2.8981 Å; angles 90.00, 90.00, 90.00 degrees
Space group P4/mmm (No. 123)
Inequivalent atoms, fractional coordinates:
Tl  0.0000  0.0000  0.0000 x1
Tc  0.0000  0.5000  0.5000 x2
Ir  0.5000  0.5000  0.0000 x1

***

2) A relaxed structure of TlTc2Ir, computed with GGA-PBE.

Computed properties:
The mass density is 14.88 g cm⁻³.

Cell lengths 2.8521, 3.8957, 5.9537 Å; angles 90.00, 90.00, 90.00 degrees
Space group Pmm2 (No. 25)
Inequivalent atoms, fractional coordinates:
Tl  0.0000  0.0000  0.0000 x1
Tc  0.0000  0.0000  0.5113 x1
Tc  0.5000  0.5000  0.7071 x1
Ir  0.5000  0.5000  0.2705 x1

***

Stability comparison, relative energies in meV/atom: 1) 292; 2) 0

***

1) A relaxed structure of TlTc2Ir, computed with GGA-PBE.

Computed properties:
The mass density is 14.91 g cm⁻³.

Cell lengths 2.8917, 2.8917, 7.8938 Å; angles 90.00, 90.00, 90.00 degrees
Space group P4mm (No. 99)
Inequivalent atoms, fractional coordinates:
Tl  0.0000  0.0000  0.0000 x1
Tc  0.0000  0.0000  0.5050 x1
Tc  0.5000  0.5000  0.7189 x1
Ir  0.5000  0.5000  0.2776 x1

***

2) A relaxed structure of TlTc2Ir, computed with GGA-PBE.

Computed properties:
The mass density is 15.04 g cm⁻³.

Cell lengths 3.8551, 3.8551, 4.4022 Å; angles 90.00, 90.00, 90.00 degrees
Space group P4/mmm (No. 123)
Inequivalent atoms, fractional coordinates:
Tl  0.0000  0.0000  0.0000 x1
Tc  0.0000  0.5000  0.5000 x2
Ir  0.5000  0.5000  0.0000 x1

***

3) A relaxed structure of TlTc2Ir, computed with GGA-PBE.

Computed properties:
The mass density is 14.96 g cm⁻³.

Cell lengths 2.8669, 2.8669, 27.7234 Å; angles 90.00, 90.00, 120.00 degrees
Space group R-3m (No. 166, hexagonal axes)
Inequivalent atoms, fractional coordinates:
Tl  0.0000  0.0000  0.0000 x3
Tc  0.0000  0.0000  0.2438 x6
Ir  0.0000  0.0000  0.5000 x3

***

Stability comparison, relative energies in meV/atom: 1) 0; 2) 309; 3) 156

***

1) A relaxed structure of TlTc2Ir, computed with GGA-PBE.

Computed properties:
The mass density is 15.10 g cm⁻³.

Cell lengths 4.8350, 2.8847, 4.9364 Å; angles 90.00, 108.81, 90.00 degrees
Space group P2/m (No. 10)
Inequivalent atoms, fractional coordinates:
Tl  0.0000  0.0000  0.0000 x1
Tc  0.0000  0.5000  0.5000 x1
Tc  0.5000  0.0000  0.5000 x1
Ir  0.5000  0.5000  0.0000 x1

***

2) A relaxed structure of TlTc2Ir, computed with GGA-PBE.

Computed properties:
The mass density is 15.05 g cm⁻³.

Cell lengths 5.3335, 8.5395, 2.8704 Å; angles 90.00, 90.00, 90.00 degrees
Space group Cmmm (No. 65)
Inequivalent atoms, fractional coordinates:
Tl  0.0000  0.0000  0.0000 x2
Tc  0.2500  0.2500  0.5000 x4
Ir  0.0000  0.5000  0.0000 x2

***

3) A relaxed structure of TlTc2Ir, computed with GGA-PBE.

Computed properties:
The mass density is 15.16 g cm⁻³.

Cell lengths 5.4539, 5.6233, 8.4645 Å; angles 90.00, 90.00, 90.00 degrees
Space group Fmmm (No. 69)
Inequivalent atoms, fractional coordinates:
Tl  0.0000  0.0000  0.0000 x4
Tc  0.2500  0.2500  0.2500 x8
Ir  0.0000  0.0000  0.5000 x4

***

Stability comparison, relative energies in meV/atom: 1) 76; 2) 95; 3) 0

***

1) A relaxed structure of TlTcIr2, computed with GGA-PBE.

Computed properties:
The mass density is 15.44 g cm⁻³.

Cell lengths 7.3295, 7.3295, 5.5011 Å; angles 90.00, 90.00, 90.00 degrees
Space group I-42d (No. 122)
Inequivalent atoms, fractional coordinates:
Tl  0.0000  0.0000  0.0000 x4
Tc  0.0000  0.0000  0.5000 x4
Ir  0.2080  0.2500  0.6250 x8

***

2) A relaxed structure of TlTcIr2, computed with GGA-PBE.

Computed properties:
The mass density is 17.37 g cm⁻³.

Cell lengths 2.8695, 2.8695, 7.9757 Å; angles 90.00, 90.00, 90.00 degrees
Space group P4mm (No. 99)
Inequivalent atoms, fractional coordinates:
Tl  0.0000  0.0000  0.0000 x1
Tc  0.5000  0.5000  0.7220 x1
Ir  0.0000  0.0000  0.5093 x1
Ir  0.5000  0.5000  0.2687 x1

***

3) A relaxed structure of TlTcIr2, computed with GGA-PBE.

Computed properties:
The mass density is 17.54 g cm⁻³.

Cell lengths 5.7207, 5.7325, 7.9320 Å; angles 90.00, 90.00, 90.00 degrees
Space group Fmmm (No. 69)
Inequivalent atoms, fractional coordinates:
Tl  0.0000  0.0000  0.0000 x4
Tc  0.0000  0.0000  0.5000 x4
Ir  0.2500  0.2500  0.2500 x8

***

Stability comparison, relative energies in meV/atom: 1) 384; 2) 0; 3) 43